1.
Material: La3TcN
Method: DFT, PBE
State: optimized geometry

a = 4.983 Å, b = 4.983 Å, c = 4.983 Å
α = 90.00°, β = 90.00°, γ = 90.00°
Space group Pm-3m (No. 221)
Inequivalent atoms, fractional coordinates:
La 0.000 0.000 0.500
Tc 0.500 0.500 0.500
N 0.000 0.000 0.000

## Properties
total energy	-0.5123	Ry/atom
E_form (uncorrected)	-276.1	meV/atom
excess energy over the best structure of this formula in the dataset	0.000	eV per atom
density of states at the Fermi level	3.29	states/eV/f.u.

2.
Material: SnMoPt3
Method: DFT, PBE
State: optimized geometry

a = 4.900 Å, b = 4.900 Å, c = 4.900 Å
α = 90.00°, β = 90.00°, γ = 90.00°
Space group Pm-3m (No. 221)
Inequivalent atoms, fractional coordinates:
Sn 0.000 0.000 0.000
Mo 0.500 0.500 0.500
Pt 0.000 0.000 0.500

## Properties
total energy	-0.3906	Ry/atom
formation energy from the elements	1.2772	eV per atom
excess energy over the best structure of this formula in the dataset	0.483	eV per atom
density of states at the Fermi level	5.07	states/eV/f.u.

3.
Material: Zr2H2Ru
Method: DFT, PBE
State: optimized geometry

a = 6.379 Å, b = 6.379 Å, c = 3.087 Å
α = 90.00°, β = 90.00°, γ = 90.00°
Space group P4/mbm (No. 127)
Inequivalent atoms, fractional coordinates:
Zr 0.179 0.321 0.000
H 0.124 0.624 0.500
Ru 0.000 0.000 0.500

## Properties
total energy	-0.4945	Ry/atom
excess energy over the best structure of this formula in the dataset	0.461	eV per atom
density of states at the Fermi level	2.60	states/eV/f.u.

4.
Material: DyPaCuRe
Method: DFT, PBE
State: optimized geometry

a = 6.902 Å, b = 6.902 Å, c = 6.902 Å
α = 90.00°, β = 90.00°, γ = 90.00°
Space group F-43m (No. 216)
Inequivalent atoms, fractional coordinates:
Dy 0.000 0.000 0.000
Pa 0.000 0.000 0.500
Cu 0.250 0.250 0.250
Re 0.250 0.250 0.750

## Properties
total energy	-0.5611	Ry/atom
formation energy from the elements	0.0269	eV per atom
density of states at the Fermi level	5.94	states/eV/f.u.

5.
Material: CoPWS2
Method: DFT, PBE
State: optimized geometry

a = 4.284 Å, b = 4.284 Å, c = 4.248 Å
α = 90.00°, β = 90.00°, γ = 90.00°
Space group P4/mmm (No. 123)
Inequivalent atoms, fractional coordinates:
Co 0.000 0.000 0.000
P 0.000 0.000 0.500
W 0.500 0.500 0.500
S 0.000 0.500 0.000

## Properties
total energy	-0.4262	Ry/atom
E_form (uncorrected)	945.7	meV/atom
excess energy over the best structure of this formula in the dataset	0.153	eV per atom
density of states at the Fermi level	3.19	states/eV/f.u.

6.
Material: CrCoAs2Br
Method: DFT, PBE
State: optimized geometry

a = 4.602 Å, b = 4.602 Å, c = 5.315 Å
α = 90.00°, β = 90.00°, γ = 90.00°
Space group P4/mmm (No. 123)
Inequivalent atoms, fractional coordinates:
Cr 0.000 0.000 0.000
Co 0.500 0.500 0.500
As 0.000 0.500 0.000
Br 0.000 0.000 0.500

## Properties
total energy	-0.3495	Ry/atom
E_form (uncorrected)	785.3	meV/atom
excess energy over the best structure of this formula in the dataset	0.000	eV per atom
density of states at the Fermi level	4.53	states/eV/f.u.

7.
Material: Pr2Sn3Au2
Method: DFT, PBE
State: optimized geometry

a = 5.025 Å, b = 3.662 Å, c = 10.278 Å
α = 90.00°, β = 103.91°, γ = 90.00°
Space group P2/m (No. 10)
Inequivalent atoms, fractional coordinates:
Pr 0.140 0.000 0.283
Sn 0.000 0.500 0.000
Sn 0.290 0.500 0.578
Au 0.429 0.500 0.855

## Properties
total energy	-0.3332	Ry/atom
formation energy from the elements	-0.5163	eV per atom
excess energy over the best structure of this formula in the dataset	0.141	eV per atom
density of states at the Fermi level	3.09	states/eV/f.u.

Q: What is the density of states at the Fermi level in the fourth record?
A: 5.94 states/eV/f.u.

Q: Which of these has the highest total energy?
A: Pr2Sn3Au2

Q: density of states at the Fermi level of number 3 (Zr2H2Ru)?
A: 2.60 states/eV/f.u.